Entry 1:
This record from Alexandria via LeMat-Bulk describes crystalline Gd2ZnRh at its relaxed geometry. The functional is GGA-PBEsol.

Cell: 4.8958 4.8958 4.8958 Å, 60.00 60.00 60.00°
Positions (direct):
1 Gd 0.2500 0.2500 0.2500
2 Gd 0.7500 0.7500 0.7500
3 Zn 0.0000 0.0000 0.0000
4 Rh 0.5000 0.5000 0.5000

Computed properties:
Calculated volume: 83.0 Å³ per cell
Formation enthalpy at 0 K: -0.524 eV/atom


Entry 2:
This record from Alexandria via LeMat-Bulk describes crystalline Li2CuP6H20C2N6O22 at its relaxed geometry. The functional is GGA-PBEsol.

Cell: 7.4779 9.1737 9.3203 Å, 87.67 70.84 75.05°
Positions (direct):
1 Li 0.1864 0.1359 0.0551
2 Li 0.8136 0.8641 0.9449
3 Cu 0.5000 0.5000 0.5000
4 P 0.2589 0.6490 0.8246
5 P 0.3396 0.3286 0.7876
6 P 0.4283 0.7790 0.0162
7 P 0.5717 0.2210 0.9838
8 P 0.6604 0.6714 0.2124
9 P 0.7411 0.3510 0.1754
10 H 0.0541 0.5115 0.2092
11 H 0.0659 0.6086 0.5763
12 H 0.1574 0.9156 0.6927
13 H 0.1679 0.5702 0.4011
14 H 0.1943 0.8185 0.4489
15 H 0.2214 0.0839 0.7097
16 H 0.2282 0.3772 0.2185
17 H 0.2422 0.9357 0.2936
18 H 0.3360 0.2153 0.4925
19 H 0.3482 0.1516 0.3146
20 H 0.6518 0.8484 0.6854
21 H 0.6640 0.7847 0.5075
22 H 0.7578 0.0643 0.7064
23 H 0.7718 0.6228 0.7815
24 H 0.7786 0.9161 0.2903
25 H 0.8057 0.1815 0.5511
26 H 0.8321 0.4298 0.5989
27 H 0.8426 0.0844 0.3073
28 H 0.9341 0.3914 0.4237
29 H 0.9459 0.4885 0.7908
30 C 0.2448 0.0221 0.4925
31 C 0.7552 0.9779 0.5075
32 N 0.2092 0.0045 0.6411
33 N 0.2228 0.9198 0.4068
34 N 0.3001 0.1444 0.4303
35 N 0.6999 0.8556 0.5697
36 N 0.7772 0.0802 0.5932
37 N 0.7908 0.9955 0.3589
38 O 0.0811 0.7702 0.8280
39 O 0.1183 0.4614 0.2807
40 O 0.1769 0.6249 0.4882
41 O 0.1964 0.4912 0.8638
42 O 0.2341 0.2112 0.8521
43 O 0.2853 0.9263 0.0789
44 O 0.3209 0.6661 0.9714
45 O 0.3824 0.2233 0.1093
46 O 0.4034 0.3387 0.6172
47 O 0.4403 0.6231 0.6863
48 O 0.4758 0.6849 0.1564
49 O 0.5242 0.3151 0.8436
50 O 0.5597 0.3769 0.3137
51 O 0.5966 0.6613 0.3828
52 O 0.6176 0.7767 0.8907
53 O 0.6791 0.3339 0.0286
54 O 0.7147 0.0737 0.9211
55 O 0.7659 0.7888 0.1479
56 O 0.8036 0.5088 0.1362
57 O 0.8231 0.3751 0.5118
58 O 0.8817 0.5386 0.7193
59 O 0.9189 0.2298 0.1720

Computed properties:
Calculated volume: 582.8 Å³ per cell
Calculated total energy: -6.314 eV per atom


Entry 3:
This record from Alexandria via LeMat-Bulk describes crystalline KSrZnNi2 at its relaxed geometry. The functional is GGA-PBEsol.

Cell: 4.6951 4.6951 5.4983 Å, 90.00 90.00 90.00°
Positions (direct):
1 K 0.0000 0.0000 0.0000
2 Sr 0.0000 0.0000 0.5000
3 Zn 0.5000 0.5000 0.5000
4 Ni 0.0000 0.5000 0.0000
5 Ni 0.5000 0.0000 0.0000

Computed properties:
Calculated volume: 121.2 Å³ per cell
Formation enthalpy at 0 K: 1.559 eV/atom


Entry 4:
This record from Alexandria via LeMat-Bulk describes crystalline HgSbIr2 at its relaxed geometry. The functional is GGA-PBEsol.

Cell: 3.0514 3.0514 7.3457 Å, 90.00 90.00 90.00°
Positions (direct):
1 Hg 0.0000 0.0000 0.0000
2 Sb 0.0000 0.0000 0.5000
3 Ir 0.5000 0.5000 0.2710
4 Ir 0.5000 0.5000 0.7290

Computed properties:
Offset from the most stable computed form: 0.000 eV/atom
Calculated volume: 68.4 Å³ per cell
Raw formation energy: 0.3056 eV/atom


Entry 5:
This record from Alexandria via LeMat-Bulk describes crystalline CoRh at its relaxed geometry. The functional is GGA-PBEsol.

Cell: 4.4082 2.6074 6.2954 Å, 90.00 91.27 90.00°
Positions (direct):
1 Co 0.0000 0.0000 0.0000
2 Co 0.1626 0.5000 0.3249
3 Co 0.8374 0.5000 0.6751
4 Rh 0.3230 0.0000 0.6607
5 Rh 0.5000 0.5000 0.0000
6 Rh 0.6770 0.0000 0.3393

Computed properties:
Calculated volume: 72.3 Å³ per cell
Formation enthalpy at 0 K: 0.080 eV/atom


Entry 6:
This record from Alexandria via LeMat-Bulk describes crystalline Li6PS5Br at its relaxed geometry. The functional is GGA-PBEsol.

Cell: 7.1829 7.1829 7.1829 Å, 60.00 60.00 60.00°
Positions (direct):
1 Li 0.2266 0.2266 0.7734
2 Li 0.2266 0.7734 0.2266
3 Li 0.2266 0.7734 0.7734
4 Li 0.7734 0.2266 0.2266
5 Li 0.7734 0.2266 0.7734
6 Li 0.7734 0.7734 0.2266
7 P 0.2500 0.2500 0.2500
8 S 0.0000 0.0000 0.0000
9 S 0.3663 0.3663 0.3663
10 S 0.3663 0.3663 0.9011
11 S 0.3663 0.9011 0.3663
12 S 0.9011 0.3663 0.3663
13 Br 0.7500 0.7500 0.7500

Computed properties:
Calculated volume: 262.0 Å³ per cell
Raw formation energy: -1.0708 eV/atom


Entry 7:
This record from Alexandria via LeMat-Bulk describes crystalline ThAu at its relaxed geometry. The functional is GGA-PBEsol.

Cell: 6.1795 6.1795 4.5264 Å, 90.00 90.00 144.69°
Positions (direct):
1 Th 0.1505 0.8495 0.7500
2 Th 0.8495 0.1505 0.2500
3 Au 0.4254 0.5746 0.7500
4 Au 0.5746 0.4254 0.2500

Computed properties:
Calculated volume: 99.9 Å³ per cell
Formation enthalpy at 0 K: -0.617 eV/atom


Entry 8:
This record from Alexandria via LeMat-Bulk describes crystalline SrTaW at its relaxed geometry. The functional is GGA-PBEsol.

Cell: 4.9280 4.9280 2.8757 Å, 90.00 90.00 120.00°
Positions (direct):
1 Sr 0.0000 0.0000 0.0000
2 Ta 0.3333 0.6667 0.6181
3 W 0.6667 0.3333 0.3745

Computed properties:
Offset from the most stable computed form: 0.413 eV/atom
Calculated volume: 60.5 Å³ per cell
Formation enthalpy at 0 K: 1.145 eV/atom


Entry 9:
This record from Alexandria via LeMat-Bulk describes crystalline SbSe2BrN at its relaxed geometry. The functional is GGA-PBEsol.

Cell: 5.2842 5.2842 3.7070 Å, 90.00 90.00 90.00°
Positions (direct):
1 Sb 0.0000 0.0000 0.0000
2 Se 0.0000 0.5000 0.5000
3 Se 0.5000 0.0000 0.5000
4 Br 0.5000 0.5000 0.5000
5 N 0.5000 0.5000 0.0000

Computed properties:
Calculated volume: 103.5 Å³ per cell
Raw formation energy: 1.1808 eV/atom


Entry 10:
This record from Alexandria via LeMat-Bulk describes crystalline SrGeP2O8 at its relaxed geometry. The functional is GGA-PBEsol.

Cell: 8.5168 8.5168 7.9111 Å, 114.42 114.42 34.73°
Positions (direct):
1 Sr 0.1886 0.8114 0.7500
2 Sr 0.8114 0.1886 0.2500
3 Ge 0.0000 0.5000 0.5000
4 Ge 0.5000 0.0000 0.0000
5 P 0.1135 0.5929 0.2384
6 P 0.4071 0.8865 0.2616
7 P 0.5929 0.1135 0.7384
8 P 0.8865 0.4071 0.7616
9 O 0.0426 0.5062 0.2950
10 O 0.1337 0.1957 0.9057
11 O 0.1721 0.7251 0.3933
12 O 0.1957 0.1337 0.4057
13 O 0.2749 0.8279 0.1067
14 O 0.3254 0.3773 0.6356
15 O 0.3773 0.3254 0.1356
16 O 0.4938 0.9574 0.2050
17 O 0.5062 0.0426 0.7950
18 O 0.6227 0.6746 0.8644
19 O 0.6746 0.6227 0.3644
20 O 0.7251 0.1721 0.8933
21 O 0.8043 0.8663 0.5943
22 O 0.8279 0.2749 0.6067
23 O 0.8663 0.8043 0.0943
24 O 0.9574 0.4938 0.7050

Computed properties:
Offset from the most stable computed form: 0.000 eV/atom
Calculated volume: 294.7 Å³ per cell
Raw formation energy: -2.3765 eV/atom


Entry 11:
This record from Alexandria via LeMat-Bulk describes crystalline AlFeCu2 at its relaxed geometry. The functional is GGA-PBEsol.

Cell: 3.5402 3.5402 3.7115 Å, 90.00 90.00 90.00°
Positions (direct):
1 Al 0.0000 0.0000 0.0000
2 Fe 0.5000 0.5000 0.0000
3 Cu 0.0000 0.5000 0.5000
4 Cu 0.5000 0.0000 0.5000

Computed properties:
Calculated volume: 46.5 Å³ per cell
Formation enthalpy at 0 K: -0.124 eV/atom


Entry 12:
This record from Alexandria via LeMat-Bulk describes crystalline Li2MgIn at its relaxed geometry. The functional is GGA-PBEsol.

Cell: 3.0069 4.6197 5.8874 Å, 90.00 104.73 90.00°
Positions (direct):
1 Li 0.2419 0.0000 0.2352
2 Li 0.7581 0.0000 0.7648
3 Mg 0.0000 0.5000 0.5000
4 In 0.5000 0.5000 0.0000

Computed properties:
Calculated volume: 79.1 Å³ per cell
Formation enthalpy at 0 K: -0.177 eV/atom


Entry 13:
This record from Alexandria via LeMat-Bulk describes crystalline AlNi2BO5 at its relaxed geometry. The functional is GGA-PBEsol.

Cell: 9.1497 11.9571 2.8794 Å, 90.00 90.00 90.00°
Positions (direct):
1 Al 0.2382 0.1142 0.0000
2 Al 0.2618 0.6142 0.0000
3 Al 0.7382 0.3858 0.0000
4 Al 0.7618 0.8858 0.0000
5 Ni 0.0000 0.0000 0.5000
6 Ni 0.0000 0.5000 0.0000
7 Ni 0.0039 0.7198 0.5000
8 Ni 0.4961 0.2198 0.5000
9 Ni 0.5000 0.0000 0.0000
10 Ni 0.5000 0.5000 0.5000
11 Ni 0.5039 0.7802 0.5000
12 Ni 0.9961 0.2802 0.5000
13 B 0.2324 0.8611 0.0000
14 B 0.2676 0.3611 0.0000
15 B 0.7324 0.6389 0.0000
16 B 0.7676 0.1389 0.0000
17 O 0.1133 0.1436 0.5000
18 O 0.1171 0.3603 0.0000
19 O 0.1262 0.5783 0.5000
20 O 0.1566 0.9617 0.0000
21 O 0.1607 0.7594 0.0000
22 O 0.3393 0.2594 0.0000
23 O 0.3434 0.4617 0.0000
24 O 0.3738 0.0783 0.5000
25 O 0.3829 0.8603 0.0000
26 O 0.3867 0.6436 0.5000
27 O 0.6133 0.3564 0.5000
28 O 0.6171 0.1397 0.0000
29 O 0.6262 0.9217 0.5000
30 O 0.6566 0.5383 0.0000
31 O 0.6607 0.7406 0.0000
32 O 0.8393 0.2406 0.0000
33 O 0.8434 0.0383 0.0000
34 O 0.8738 0.4217 0.5000
35 O 0.8829 0.6397 0.0000
36 O 0.8867 0.8564 0.5000

Computed properties:
Calculated volume: 315.0 Å³ per cell
Raw formation energy: -1.7834 eV/atom


Entry 14:
This record from Alexandria via LeMat-Bulk describes crystalline TaAg2Se at its relaxed geometry. The functional is GGA-PBEsol.

Cell: 5.6364 5.6364 5.6364 Å, 141.24 141.24 55.98°
Positions (direct):
1 Ta 0.0000 0.0000 0.0000
2 Ag 0.2500 0.7500 0.5000
3 Ag 0.7500 0.2500 0.5000
4 Se 0.5000 0.5000 0.0000

Computed properties:
Calculated volume: 69.7 Å³ per cell
Raw formation energy: 0.3412 eV/atom


Entry 15:
This record from Alexandria via LeMat-Bulk describes crystalline KAg3P at its relaxed geometry. The functional is GGA-PBEsol.

Cell: 5.1020 5.1020 5.1020 Å, 90.00 90.00 90.00°
Positions (direct):
1 K 0.0000 0.0000 0.0000
2 Ag 0.0000 0.0000 0.5000
3 Ag 0.0000 0.5000 0.0000
4 Ag 0.5000 0.0000 0.0000
5 P 0.5000 0.5000 0.5000

Computed properties:
Calculated volume: 132.8 Å³ per cell
Formation enthalpy at 0 K: 1.667 eV/atom


Entry 16:
This record from Alexandria via LeMat-Bulk describes crystalline ScTl at its relaxed geometry. The functional is GGA-PBEsol.

Cell: 5.0051 5.0051 5.7221 Å, 90.00 90.00 120.00°
Positions (direct):
1 Sc 0.3333 0.6667 0.2500
2 Sc 0.6667 0.3333 0.7500
3 Tl 0.3333 0.6667 0.7500
4 Tl 0.6667 0.3333 0.2500

Computed properties:
Calculated volume: 124.1 Å³ per cell
Formation enthalpy at 0 K: 0.342 eV/atom


Entry 17:
This record from Alexandria via LeMat-Bulk describes crystalline RbPH at its relaxed geometry. The functional is GGA-PBEsol.

Cell: 5.1141 6.0350 6.1786 Å, 89.70 65.91 69.80°
Positions (direct):
1 Rb 0.0000 0.0000 0.0000
2 Rb 0.0539 0.4570 0.5045
3 P 0.3952 0.3694 0.8857
4 P 0.6882 0.0542 0.6098
5 H 0.4174 0.5630 0.7456
6 H 0.4792 0.0098 0.5243

Computed properties:
Calculated volume: 161.3 Å³ per cell
Calculated total energy: -3.656 eV per atom


Entry 18:
This record from Alexandria via LeMat-Bulk describes crystalline LiCd2Au2 at its relaxed geometry. The functional is GGA-PBEsol.

Cell: 7.6445 7.6445 3.3012 Å, 90.00 90.00 90.00°
Positions (direct):
1 Li 0.0000 0.0000 0.0000
2 Li 0.5000 0.5000 0.0000
3 Cd 0.1632 0.3368 0.5000
4 Cd 0.3368 0.8368 0.5000
5 Cd 0.6632 0.1632 0.5000
6 Cd 0.8368 0.6632 0.5000
7 Au 0.1363 0.6363 0.0000
8 Au 0.3637 0.1363 0.0000
9 Au 0.6363 0.8637 0.0000
10 Au 0.8637 0.3637 0.0000

Computed properties:
Calculated volume: 192.9 Å³ per cell
Formation enthalpy at 0 K: -0.251 eV/atom


Entry 19:
This record from Alexandria via LeMat-Bulk describes crystalline Te3Br at its relaxed geometry. The functional is GGA-PBEsol.

Cell: 4.1565 4.1565 8.4839 Å, 95.60 95.60 60.18°
Positions (direct):
1 Te 0.0000 0.0000 0.0000
2 Te 0.3063 0.3063 0.7758
3 Te 0.6937 0.6937 0.2242
4 Br 0.5000 0.5000 0.5000

Computed properties:
Offset from the most stable computed form: 0.000 eV/atom
Calculated volume: 126.4 Å³ per cell
Raw formation energy: -0.0244 eV/atom


Entry 20:
This record from Alexandria via LeMat-Bulk describes crystalline Te2PtI at its relaxed geometry. The functional is GGA-PBEsol.

Cell: 4.0439 4.0439 8.0199 Å, 104.90 104.90 59.99°
Positions (direct):
1 Te 0.2260 0.2260 0.1732
2 Te 0.7740 0.7740 0.8268
3 Pt 0.5000 0.5000 0.0000
4 I 0.0000 0.0000 0.5000

Computed properties:
Calculated volume: 108.4 Å³ per cell
Raw formation energy: -0.3468 eV/atom


Calculated density, respectively: 9.7 2.1 4.2 17.2 11.1 2.0 14.3 12.4 6.0 3.9 7.5 3.2 5.0 11.3 4.9 6.7 2.4 10.8 6.1 8.8 g cm⁻³.
Magnetization, respectively: 14.19 1.00 0.00 0.00 5.74 0.02 0.00 0.00 0.00 0.00 1.45 0.00 15.84 0.00 0.00 0.00 0.00 0.00 0.00 0.00 Bohr magnetons per cell.